Arrangement w

ZrReS3 | GGA-PBE | optimized geometry

Geometry as POSCAR:
```
ZrReS3
1.0
4.958 0.000 0.000
0.000 4.958 0.000
0.000 0.000 4.958
Zr Re S
1 1 3
Direct
0.000 0.000 0.000 Zr
0.500 0.500 0.500 Re
0.000 0.000 0.500 S
0.000 0.500 0.000 S
0.500 0.000 0.000 S
```

Results
Its space group is Pm-3m, No. 221. As for the density of states at the Fermi level: 1.7 states/eV per cell.

Arrangement x

ZrReS3 | GGA-PBE | optimized geometry

Geometry as POSCAR:
```
ZrReS3
1.0
4.604 0.000 0.000
0.000 4.604 0.000
0.000 0.000 4.604
Zr Re S
1 1 3
Direct
0.000 0.000 0.000 Zr
0.500 0.500 0.500 Re
0.000 0.500 0.500 S
0.500 0.000 0.500 S
0.500 0.500 0.000 S
```

Results
Its space group is Pm-3m, No. 221. As for the density of states at the Fermi level: 6.1 states/eV per cell.

Of them, arrangement w has the lowest stability.

Arrangement w

Re5Sb4 | GGA-PBE | optimized geometry

Geometry as POSCAR:
```
Re5Sb4
1.0
-5.224 5.224 1.568
5.224 -5.224 1.568
5.224 5.224 -1.568
Re Sb
5 4
Direct
0.000 0.000 0.000 Re
0.347 0.347 0.694 Re
0.347 0.653 0.000 Re
0.653 0.347 0.000 Re
0.653 0.653 0.306 Re
0.000 0.305 0.305 Sb
0.000 0.695 0.695 Sb
0.305 0.000 0.305 Sb
0.695 0.000 0.695 Sb
```

Results
Its space group is I4/mmm, No. 139. As for the density of states at the Fermi level: 9.1 states/eV per cell.

Arrangement x

Re5Sb4 | GGA-PBE | optimized geometry

Geometry as POSCAR:
```
Re5Sb4
1.0
8.274 0.000 0.000
-4.137 7.165 0.000
0.000 0.000 5.515
Re Sb
10 8
Direct
0.000 0.340 0.250 Re
0.000 0.660 0.750 Re
0.333 0.667 0.000 Re
0.333 0.667 0.500 Re
0.340 0.000 0.250 Re
0.340 0.340 0.750 Re
0.660 0.000 0.750 Re
0.660 0.660 0.250 Re
0.667 0.333 0.000 Re
0.667 0.333 0.500 Re
0.000 0.000 0.000 Sb
0.000 0.000 0.500 Sb
0.000 0.346 0.750 Sb
0.000 0.654 0.250 Sb
0.346 0.000 0.750 Sb
0.346 0.346 0.250 Sb
0.654 0.000 0.250 Sb
0.654 0.654 0.750 Sb
```

Results
Its space group is P6_3/mcm, No. 193. As for the density of states at the Fermi level: 24.9 states/eV per cell.

Of them, arrangement x has the lowest stability.

Arrangement w

ReSb4 | GGA-PBE | optimized geometry

Geometry as POSCAR:
```
ReSb4
1.0
-4.476 4.476 1.626
4.476 -4.476 1.626
4.476 4.476 -1.626
Re Sb
1 4
Direct
0.000 0.000 0.000 Re
0.258 0.419 0.677 Sb
0.419 0.742 0.161 Sb
0.581 0.258 0.839 Sb
0.742 0.581 0.323 Sb
```

Results
Its space group is I4/m, No. 87. As for the density of states at the Fermi level: 4.2 states/eV per cell.

Arrangement x

ReSb4 | GGA-PBE | optimized geometry

Geometry as POSCAR:
```
ReSb4
1.0
5.185 0.000 0.000
0.000 5.185 0.000
0.000 0.000 5.185
Re Sb
1 4
Direct
0.000 0.000 0.000 Re
0.000 0.000 0.500 Sb
0.000 0.500 0.000 Sb
0.500 0.000 0.000 Sb
0.500 0.500 0.500 Sb
```

Results
Its space group is Pm-3m, No. 221. As for the density of states at the Fermi level: 4.2 states/eV per cell.

Of them, arrangement x has the lowest stability.

Arrangement w

ScReSb2 | GGA-PBE | optimized geometry

Geometry as POSCAR:
```
ScReSb2
1.0
0.000 3.441 3.441
3.441 0.000 3.441
3.441 3.441 0.000
Sc Re Sb
1 1 2
Direct
0.000 0.000 0.000 Sc
0.250 0.250 0.250 Re
0.500 0.500 0.500 Sb
0.750 0.750 0.750 Sb
```

Results
Its space group is F-43m, No. 216. As for the density of states at the Fermi level: 1.3 states/eV per cell.

Arrangement x

ScReSb2 | GGA-PBE | optimized geometry

Geometry as POSCAR:
```
ScReSb2
1.0
3.417 0.000 0.000
0.000 4.381 0.000
-0.861 0.000 5.625
Sc Re Sb
1 1 2
Direct
0.000 0.000 0.000 Sc
0.500 0.000 0.500 Re
0.338 0.500 0.741 Sb
0.662 0.500 0.259 Sb
```

Results
Its space group is P2/m, No. 10. As for the density of states at the Fermi level: 2.1 states/eV per cell.

Arrangement y

ScReSb2 | GGA-PBE | optimized geometry

Geometry as POSCAR:
```
ScReSb2
1.0
4.141 -1.712 0.000
4.141 1.712 0.000
-1.274 0.000 5.981
Sc Re Sb
1 1 2
Direct
0.000 0.000 0.000 Sc
0.500 0.500 0.500 Re
0.240 0.240 0.719 Sb
0.760 0.760 0.281 Sb
```

Results
Its space group is C2/m, No. 12. As for the density of states at the Fermi level: 2.1 states/eV per cell.

Arrangement z

ScReSb2 | GGA-PBE | optimized geometry

Geometry as POSCAR:
```
ScReSb2
1.0
3.301 0.000 0.000
0.000 3.301 0.000
0.000 0.000 7.348
Sc Re Sb
1 1 2
Direct
0.000 0.000 0.000 Sc
0.000 0.000 0.500 Re
0.500 0.500 0.277 Sb
0.500 0.500 0.723 Sb
```

Results
Its space group is P4/mmm, No. 123. As for the density of states at the Fermi level: 3.0 states/eV per cell.

Of them, arrangement w has the lowest stability.

Arrangement w

ScReSb2 | GGA-PBE | optimized geometry

Geometry as POSCAR:
```
ScReSb2
1.0
3.437 0.000 0.000
0.000 5.271 0.000
0.000 0.000 4.561
Sc Re Sb
1 1 2
Direct
0.000 0.000 0.000 Sc
0.500 0.500 0.783 Re
0.000 0.500 0.279 Sb
0.500 0.000 0.514 Sb
```

Results
Its space group is Pmm2, No. 25. As for the density of states at the Fermi level: 3.9 states/eV per cell.

Arrangement x

ScReSb2 | GGA-PBE | optimized geometry

Geometry as POSCAR:
```
ScReSb2
1.0
1.639 0.946 9.688
-1.639 0.946 9.688
0.000 -1.893 9.688
Sc Re Sb
1 1 2
Direct
0.000 0.000 0.000 Sc
0.262 0.262 0.262 Re
0.527 0.527 0.527 Sb
0.750 0.750 0.750 Sb
```

Results
Its space group is R3m, No. 160. As for the density of states at the Fermi level: 3.7 states/eV per cell.

Of them, arrangement w has the lowest stability.

Arrangement w

ScReSb2 | GGA-PBE | optimized geometry

Geometry as POSCAR:
```
ScReSb2
1.0
-1.737 2.380 4.980
1.737 -2.380 4.980
1.737 2.380 -4.980
Sc Re Sb
1 1 2
Direct
0.000 0.000 0.000 Sc
0.237 0.737 0.500 Re
0.451 0.451 0.000 Sb
0.736 0.236 0.500 Sb
```

Results
Its space group is Imm2, No. 44. As for the density of states at the Fermi level: 2.8 states/eV per cell.

Arrangement x

ScReSb2 | GGA-PBE | optimized geometry

Geometry as POSCAR:
```
ScReSb2
1.0
4.947 -1.707 0.000
4.947 1.707 0.000
-1.672 0.000 4.907
Sc Re Sb
1 1 2
Direct
0.000 0.000 0.000 Sc
0.732 0.732 0.368 Re
0.240 0.240 0.804 Sb
0.461 0.461 0.461 Sb
```

Results
Its space group is Cm, No. 8. As for the density of states at the Fermi level: 3.6 states/eV per cell.

Of them, arrangement w has the lowest stability.

Arrangement w

ScReSb2 | GGA-PBE | optimized geometry

Geometry as POSCAR:
```
ScReSb2
1.0
-2.152 2.152 9.683
2.152 -2.152 9.683
2.152 2.152 -9.683
Sc Re Sb
2 2 4
Direct
0.000 0.000 0.000 Sc
0.750 0.250 0.500 Sc
0.250 0.750 0.500 Re
0.500 0.500 0.000 Re
0.141 0.625 0.016 Sb
0.375 0.391 0.516 Sb
0.609 0.125 0.984 Sb
0.875 0.859 0.484 Sb
```

Results
Its space group is I-42d, No. 122. As for the density of states at the Fermi level: 4.9 states/eV per cell.

Arrangement x

ScReSb2 | GGA-PBE | optimized geometry

Geometry as POSCAR:
```
ScReSb2
1.0
-2.094 2.094 4.576
2.094 -2.094 4.576
2.094 2.094 -4.576
Sc Re Sb
1 1 2
Direct
0.000 0.000 0.000 Sc
0.250 0.750 0.500 Re
0.500 0.500 0.000 Sb
0.750 0.250 0.500 Sb
```

Results
Its space group is I-4m2, No. 119. As for the density of states at the Fermi level: 4.2 states/eV per cell.

Arrangement y

ScReSb2 | GGA-PBE | optimized geometry

Geometry as POSCAR:
```
ScReSb2
1.0
3.459 0.000 0.000
0.000 3.459 0.000
0.000 0.000 7.264
Sc Re Sb
1 1 2
Direct
0.000 0.000 0.000 Sc
0.500 0.500 0.210 Re
0.000 0.000 0.410 Sb
0.500 0.500 0.784 Sb
```

Results
Its space group is P4mm, No. 99. As for the density of states at the Fermi level: 1.0 states/eV per cell.

Of them, arrangement w has the lowest stability.

Arrangement w

ScReSb2 | GGA-PBE | optimized geometry

Geometry as POSCAR:
```
ScReSb2
1.0
4.833 0.000 0.000
0.000 4.833 0.000
0.000 0.000 3.387
Sc Re Sb
1 1 2
Direct
0.000 0.000 0.000 Sc
0.500 0.500 0.000 Re
0.000 0.500 0.500 Sb
0.500 0.000 0.500 Sb
```

Results
Its space group is P4/mmm, No. 123. As for the density of states at the Fermi level: 3.3 states/eV per cell.

Arrangement x

ScReSb2 | GGA-PBE | optimized geometry

Geometry as POSCAR:
```
ScReSb2
1.0
1.660 0.958 8.859
-1.660 0.958 8.859
0.000 -1.916 8.859
Sc Re Sb
1 1 2
Direct
0.000 0.000 0.000 Sc
0.500 0.500 0.500 Re
0.241 0.241 0.241 Sb
0.759 0.759 0.759 Sb
```

Results
Its space group is R-3m, No. 166. As for the density of states at the Fermi level: 5.1 states/eV per cell.

Of them, arrangement x has the lowest stability.

Arrangement w

Sc3ReSb | GGA-PBE | optimized geometry

Geometry as POSCAR:
```
Sc3ReSb
1.0
5.151 0.000 0.000
0.000 5.151 0.000
0.000 0.000 5.151
Sc Re Sb
3 1 1
Direct
0.000 0.000 0.500 Sc
0.000 0.500 0.000 Sc
0.500 0.000 0.000 Sc
0.500 0.500 0.500 Re
0.000 0.000 0.000 Sb
```

Results
Its space group is Pm-3m, No. 221. As for the density of states at the Fermi level: 14.6 states/eV per cell.

Arrangement x

Sc3ReSb | GGA-PBE | optimized geometry

Geometry as POSCAR:
```
Sc3ReSb
1.0
5.023 0.000 0.000
0.000 5.023 0.000
0.000 0.000 5.023
Sc Re Sb
3 1 1
Direct
0.000 0.000 0.500 Sc
0.000 0.500 0.000 Sc
0.500 0.000 0.000 Sc
0.000 0.000 0.000 Re
0.500 0.500 0.500 Sb
```

Results
Its space group is Pm-3m, No. 221. As for the density of states at the Fermi level: 3.7 states/eV per cell.

Of them, arrangement w has the lowest stability.

Arrangement w

Re3SbSe | GGA-PBE | optimized geometry

Geometry as POSCAR:
```
Re3SbSe
1.0
4.615 0.000 0.000
0.000 4.615 0.000
0.000 0.000 4.615
Re Sb Se
3 1 1
Direct
0.000 0.000 0.500 Re
0.000 0.500 0.000 Re
0.500 0.000 0.000 Re
0.500 0.500 0.500 Sb
0.000 0.000 0.000 Se
```

Results
Its space group is Pm-3m, No. 221. As for the density of states at the Fermi level: 4.3 states/eV per cell.

Arrangement x

Re3SbSe | GGA-PBE | optimized geometry

Geometry as POSCAR:
```
Re3SbSe
1.0
4.874 0.000 0.000
0.000 4.874 0.000
0.000 0.000 4.874
Re Sb Se
3 1 1
Direct
0.000 0.000 0.500 Re
0.000 0.500 0.000 Re
0.500 0.000 0.000 Re
0.000 0.000 0.000 Sb
0.500 0.500 0.500 Se
```

Results
Its space group is Pm-3m, No. 221. As for the density of states at the Fermi level: 3.9 states/eV per cell.

Of them, arrangement x has the lowest stability.

Arrangement w

ReSiSb3 | GGA-PBE | optimized geometry

Geometry as POSCAR:
```
ReSiSb3
1.0
5.158 0.000 0.000
0.000 5.158 0.000
0.000 0.000 5.158
Re Si Sb
1 1 3
Direct
0.000 0.000 0.000 Re
0.500 0.500 0.500 Si
0.000 0.000 0.500 Sb
0.000 0.500 0.000 Sb
0.500 0.000 0.000 Sb
```

Results
Its space group is Pm-3m, No. 221. As for the density of states at the Fermi level: 3.1 states/eV per cell.

Arrangement x

ReSiSb3 | GGA-PBE | optimized geometry

Geometry as POSCAR:
```
ReSiSb3
1.0
5.062 0.000 0.000
0.000 5.062 0.000
0.000 0.000 5.062
Re Si Sb
1 1 3
Direct
0.000 0.000 0.000 Re
0.500 0.500 0.500 Si
0.000 0.500 0.500 Sb
0.500 0.000 0.500 Sb
0.500 0.500 0.000 Sb
```

Results
Its space group is Pm-3m, No. 221. As for the density of states at the Fermi level: 3.1 states/eV per cell.

Of them, arrangement x has the lowest stability.

Arrangement w

Re2SiSb | GGA-PBE | optimized geometry

Geometry as POSCAR:
```
Re2SiSb
1.0
3.118 0.000 0.000
0.000 3.118 0.000
0.000 0.000 6.394
Re Si Sb
2 1 1
Direct
0.000 0.000 0.221 Re
0.000 0.000 0.779 Re
0.500 0.500 0.000 Si
0.500 0.500 0.500 Sb
```

Results
Its space group is P4/mmm, No. 123. As for the density of states at the Fermi level: 3.0 states/eV per cell.

Arrangement x

Re2SiSb | GGA-PBE | optimized geometry

Geometry as POSCAR:
```
Re2SiSb
1.0
4.428 0.000 0.000
0.000 4.428 0.000
0.000 0.000 3.172
Re Si Sb
2 1 1
Direct
0.000 0.500 0.000 Re
0.500 0.000 0.000 Re
0.000 0.000 0.500 Si
0.500 0.500 0.500 Sb
```

Results
Its space group is P4/mmm, No. 123. As for the density of states at the Fermi level: 2.7 states/eV per cell.

Of them, arrangement x has the lowest stability.